# NdPO4

NdPO4 after structural relaxation (PBEsol, Alexandria).

The raw total energy is -8.35 eV/atom.

```
NdPO4
1.0
-2.100 4.873 3.536
-4.260 -5.009 1.483
4.151 -1.989 5.207
O P Nd
16 4 4
Cartesian
0.866 -1.946 3.175 O
-0.002 -0.199 8.237 O
-4.363 -1.032 3.114 O
0.186 -0.910 1.049 O
-2.394 -1.214 9.177 O
2.154 -1.093 7.112 O
-0.145 -3.500 5.386 O
-2.207 -1.925 1.989 O
-2.302 -1.310 4.428 O
1.248 1.291 6.805 O
-2.294 -4.560 5.690 O
-3.074 -0.178 7.051 O
-3.457 -3.415 3.421 O
-2.064 1.376 4.840 O
0.093 -0.814 5.798 O
0.085 2.435 4.536 O
-1.299 2.664 5.190 P
-0.910 -4.789 5.036 P
0.902 -0.198 6.980 P
-3.110 -1.926 3.246 P
-1.864 -2.302 6.700 Nd
2.089 -2.605 5.160 Nd
-4.298 0.481 5.066 Nd
-0.345 0.178 3.526 Nd
```



# CuRh2Se4

CuRh2Se4 after structural relaxation (PBEsol, Alexandria).

The raw total energy is -5.54 eV/atom.

```
CuRh2Se4
1.0
-3.102 -6.462 0.922
-1.765 -4.013 -5.745
3.703 -6.029 -1.471
Se Cu Rh
8 2 4
Cartesian
-0.190 -12.430 -2.787 Se
-2.725 -11.496 -4.768 Se
-1.885 -9.335 -1.991 Se
-1.266 -8.200 -5.081 Se
-0.447 -6.340 -2.418 Se
-1.008 -14.291 -5.450 Se
0.430 -11.295 -5.878 Se
1.269 -9.134 -3.100 Se
0.000 0.000 0.000 Cu
-0.291 -4.126 -1.574 Cu
-0.728 -10.315 -3.934 Rh
0.823 -7.084 -4.395 Rh
-2.579 -7.301 -3.198 Rh
0.155 -8.308 -1.062 Rh
```



# Li4Fe3Co5O16

Li4Fe3Co5O16 after structural relaxation (PBEsol, Alexandria).

The raw total energy is -7.00 eV/atom.

```
Li4Fe3Co5O16
1.0
5.539 0.000 0.000
-2.769 4.814 0.038
0.000 -0.059 9.004
Co O Fe Li
5 16 3 4
Cartesian
0.000 3.193 4.654 Co
2.770 3.142 2.618 Co
2.769 1.611 0.110 Co
1.349 3.934 7.127 Co
-1.349 3.934 7.127 Co
1.206 2.468 5.936 O
-1.369 4.013 3.613 O
0.000 4.561 5.976 O
1.383 0.769 8.077 O
2.769 0.181 1.387 O
4.156 0.769 8.077 O
0.000 3.140 8.101 O
2.769 3.173 8.143 O
2.769 1.586 3.621 O
0.000 -0.035 6.262 O
3.974 2.278 1.446 O
0.000 1.602 3.574 O
0.000 -0.009 1.762 O
1.565 2.278 1.446 O
1.369 4.013 3.613 O
-1.206 2.468 5.936 O
4.088 0.801 2.599 Fe
0.000 1.612 7.101 Fe
1.451 0.801 2.599 Fe
0.000 3.186 0.984 Li
0.000 -0.013 4.530 Li
2.769 1.560 5.510 Li
0.000 0.007 0.028 Li
```



Which value of raw total energy does entry 1 give? -8.35 eV/atom